Entry 1:
GGA-PBE YP2Cl, optimized geometry; relative energy among the computed polymorphs = 0.712 eV/atom; space-group type = I-4m2, No. 119; DOS at the Fermi energy = 4.1 states/eV per cell; energy = -20.407 eV per cell
1.0
-4.420 -2.095 -0.397
0.024 -1.949 4.504
0.790 4.767 -0.858
P Y Cl
2 1 1
Cartesian
0.000 0.000 0.000
-0.692 0.398 2.850
-2.198 -2.022 2.054
-2.914 0.325 0.399

Entry 2:
GGA-PBE YPCl2, optimized geometry; relative energy among the computed polymorphs = 0.641 eV/atom; space-group type = Fm-3m, No. 225; DOS at the Fermi energy = 2.9 states/eV per cell; energy = -18.141 eV per cell
1.0
0.000 3.433 3.433
3.433 0.000 3.433
3.433 3.433 0.000
Cl P Y
2 1 1
Cartesian
5.149 5.149 5.149
1.716 1.716 1.716
0.000 0.000 0.000
3.433 3.433 3.433

Entry 3:
GGA-PBE Y3P2Cl, optimized geometry; space-group type = C2/m, No. 12; DOS at the Fermi energy = 4.3 states/eV per cell; energy = -83.527 eV per cell
1.0
-2.260 1.516 2.932
-4.216 -0.698 -5.619
1.425 -9.521 6.022
Y Cl P
6 2 4
Cartesian
-2.580 -0.060 0.771
-2.472 -8.644 2.564
-2.989 -4.042 -0.214
-2.063 -4.661 3.549
0.162 -2.469 1.402
-5.214 -6.234 1.933
-3.286 -1.435 -1.791
-1.766 -7.268 5.126
0.712 -4.761 3.011
-2.556 -6.288 1.281
-2.496 -2.415 2.054
0.000 0.000 0.000

Entry 4:
GGA-PBE YPCl2, optimized geometry; relative energy among the computed polymorphs = 0.460 eV/atom; space-group type = Pmmm, No. 47; DOS at the Fermi energy = 1.6 states/eV per cell; energy = -18.866 eV per cell
1.0
3.741 0.000 0.000
0.000 4.911 0.000
0.000 0.000 4.454
Y Cl P
1 2 1
Cartesian
0.000 2.455 2.227
0.000 0.000 0.000
1.871 2.455 0.000
1.871 0.000 2.227

Entry 5:
GGA-PBE YPCl2, optimized geometry; relative energy among the computed polymorphs = 0.639 eV/atom; space-group type = F-43m, No. 216; DOS at the Fermi energy = 4.2 states/eV per cell; energy = -18.147 eV per cell
1.0
-3.424 -1.628 -3.195
-1.353 -4.770 0.033
-4.501 -1.289 1.633
Y P Cl
1 1 2
Cartesian
-2.319 -1.922 -0.382
-4.639 -3.844 -0.765
0.000 0.000 0.000
-6.958 -5.765 -1.147

Entry 6:
GGA-PBE YP2Cl, optimized geometry; relative energy among the computed polymorphs = 0.192 eV/atom; space-group type = P4mm, No. 99; DOS at the Fermi energy = 1.0 states/eV per cell; energy = -22.486 eV per cell
1.0
3.346 0.016 0.000
-0.016 3.346 0.000
0.000 0.000 7.982
Cl P Y
1 2 1
Cartesian
1.665 1.681 5.352
1.665 1.681 1.808
0.000 0.000 1.055
0.000 0.000 3.758

Entry 7:
GGA-PBE YP3Cl, optimized geometry; relative energy among the computed polymorphs = 0.000 eV/atom; space-group type = Pm-3m, No. 221; DOS at the Fermi energy = 2.6 states/eV per cell; energy = -22.584 eV per cell
1.0
-4.134 2.000 0.589
-1.680 -3.970 1.689
1.235 1.295 4.270
Cl Y P
1 1 3
Cartesian
0.000 0.000 0.000
-2.289 -0.338 3.274
0.617 0.647 2.135
-2.067 1.000 0.294
-0.840 -1.985 0.845

Entry 8:
GGA-PBE Y2P2Cl, optimized geometry; relative energy among the computed polymorphs = 0.564 eV/atom; space-group type = I4/mmm, No. 139; DOS at the Fermi energy = 2.3 states/eV per cell; energy = -30.050 eV per cell
1.0
-2.020 2.020 7.284
2.020 -2.020 7.284
2.020 2.020 -7.284
Cl P Y
1 2 2
Cartesian
0.000 0.000 0.000
2.020 0.000 3.642
0.000 2.020 3.642
0.000 0.000 9.092
0.000 0.000 5.477